[1]
! PBE RbFe, relaxed; values from VASP
&SYSTEM
  ibrav = 0, nat = 16, ntyp = 2
/
ATOMIC_SPECIES
Fe 55.84 Fe.upf
Rb 85.47 Rb.upf
CELL_PARAMETERS angstrom
-2.7559 12.3286 3.5530
-6.0776 -4.4549 10.7438
3.3479 0.1810 1.9689
ATOMIC_POSITIONS crystal
Fe 0.0637 0.4442 0.5000
Fe 0.0558 0.5637 0.0000
Fe 0.9442 0.4363 0.0000
Fe 0.5558 0.0637 0.5000
Fe 0.4442 0.9363 0.5000
Fe 0.9363 0.5558 0.5000
Fe 0.5637 0.9442 0.0000
Fe 0.4363 0.0558 0.0000
Rb 0.2165 0.9038 0.0000
Rb 0.5962 0.7165 0.5000
Rb 0.2835 0.5962 0.5000
Rb 0.4038 0.2835 0.5000
Rb 0.7835 0.0962 0.0000
Rb 0.7165 0.4038 0.5000
Rb 0.9038 0.7835 0.0000
Rb 0.0962 0.2165 0.0000
! Polymorph energy (0 for the lowest one) ... 0.0 kJ per mole of atoms
! Total magnetization ... 22.0 μB per cell
! E_tot ... -4.007 eV/atom
! DOS at the Fermi energy ... 0.7818 states/eV per atom

=====

[2]
! PBE RbFe, relaxed; values from VASP
&SYSTEM
  ibrav = 0, nat = 8, ntyp = 2
/
ATOMIC_SPECIES
Fe 55.84 Fe.upf
Rb 85.47 Rb.upf
CELL_PARAMETERS angstrom
-6.0409 -5.4308 -0.2026
3.1589 -3.7553 6.4766
-4.4223 4.7362 4.9031
ATOMIC_POSITIONS crystal
Fe 0.7500 0.2500 0.7500
Fe 0.7500 0.7500 0.2500
Fe 0.2500 0.2500 0.2500
Fe 0.2500 0.7500 0.7500
Rb 0.5000 0.0000 0.5000
Rb 0.5000 0.5000 0.0000
Rb 0.0000 0.5000 0.5000
Rb 0.0000 0.0000 0.0000
! Polymorph energy (0 for the lowest one) ... 109.1 kJ per mole of atoms
! Total magnetization ... 12.1 μB per cell
! E_tot ... -2.876 eV/atom
! DOS at the Fermi energy ... 2.5751 states/eV per atom

=====

[3]
! PBE RbFe, relaxed; values from VASP
&SYSTEM
  ibrav = 0, nat = 16, ntyp = 2
/
ATOMIC_SPECIES
Fe 55.84 Fe.upf
Rb 85.47 Rb.upf
CELL_PARAMETERS angstrom
-9.0926 -5.7130 7.8328
8.5750 0.2713 10.1520
-1.4294 3.7915 1.1061
ATOMIC_POSITIONS crystal
Fe 0.2299 0.2299 0.0000
Fe 0.7701 0.2299 0.0000
Fe 0.2299 0.7701 0.0000
Fe 0.2701 0.7299 0.5000
Fe 0.7299 0.2701 0.5000
Fe 0.2701 0.2701 0.5000
Fe 0.7299 0.7299 0.5000
Fe 0.7701 0.7701 0.0000
Rb 0.7471 0.0000 0.5000
Rb 0.5000 0.7529 0.0000
Rb 0.5000 0.2471 0.0000
Rb 0.7529 0.5000 0.0000
Rb 0.0000 0.7471 0.5000
Rb 0.2529 0.0000 0.5000
Rb 0.0000 0.2529 0.5000
Rb 0.2471 0.5000 0.0000
! Polymorph energy (0 for the lowest one) ... 32.8 kJ per mole of atoms
! Total magnetization ... 21.9 μB per cell
! E_tot ... -3.667 eV/atom
! DOS at the Fermi energy ... 1.1441 states/eV per atom

=====

What did the first record say?
! PBE RbFe, relaxed; values from VASP
&SYSTEM
  ibrav = 0, nat = 16, ntyp = 2
/
ATOMIC_SPECIES
Fe 55.84 Fe.upf
Rb 85.47 Rb.upf
CELL_PARAMETERS angstrom
-2.7559 12.3286 3.5530
-6.0776 -4.4549 10.7438
3.3479 0.1810 1.9689
ATOMIC_POSITIONS crystal
Fe 0.0637 0.4442 0.5000
Fe 0.0558 0.5637 0.0000
Fe 0.9442 0.4363 0.0000
Fe 0.5558 0.0637 0.5000
Fe 0.4442 0.9363 0.5000
Fe 0.9363 0.5558 0.5000
Fe 0.5637 0.9442 0.0000
Fe 0.4363 0.0558 0.0000
Rb 0.2165 0.9038 0.0000
Rb 0.5962 0.7165 0.5000
Rb 0.2835 0.5962 0.5000
Rb 0.4038 0.2835 0.5000
Rb 0.7835 0.0962 0.0000
Rb 0.7165 0.4038 0.5000
Rb 0.9038 0.7835 0.0000
Rb 0.0962 0.2165 0.0000
! Polymorph energy (0 for the lowest one) ... 0.0 kJ per mole of atoms
! Total magnetization ... 22.0 μB per cell
! E_tot ... -4.007 eV/atom
! DOS at the Fermi energy ... 0.7818 states/eV per atom